No. 1
! Ta2PS2 PBE relaxed; values from VASP
&SYSTEM
  ibrav = 0, nat = 5, ntyp = 3
/
ATOMIC_SPECIES
S 32.06 S.upf
Ta 180.95 Ta.upf
P 30.97 P.upf
CELL_PARAMETERS angstrom
4.468 0.000 0.000
0.000 4.468 0.000
2.234 2.234 4.280
ATOMIC_POSITIONS angstrom
S 2.234 2.234 1.208
S 4.468 4.468 3.072
Ta 4.468 2.234 2.140
P 0.000 0.000 0.000
Ta 2.234 4.468 2.140
! Crystal system: tetragonal
! Space group: No. 139
! ΔE_f (raw): -0.197 eV per atom
! Offset from the most stable computed form: 0 meV per atom
! DFT total energy: -38.35 eV per cell

---

No. 2
! TaP2S6 PBE relaxed; values from VASP
&SYSTEM
  ibrav = 0, nat = 9, ntyp = 3
/
ATOMIC_SPECIES
S 32.06 S.upf
Ta 180.95 Ta.upf
P 30.97 P.upf
CELL_PARAMETERS angstrom
6.063 0.000 0.000
3.032 5.251 0.000
3.032 1.750 6.991
ATOMIC_POSITIONS angstrom
S 5.081 1.785 5.442
Ta 6.063 3.501 6.878
S 6.863 5.309 1.607
S 5.068 5.209 5.442
P 6.063 3.501 1.078
S 4.097 3.289 1.607
P 9.095 5.251 5.877
S 7.229 1.903 1.607
S 8.040 3.508 5.442
! Crystal system: trigonal
! Space group: No. 146
! ΔE_f (raw): -0.396 eV per atom
! DFT total energy: -51.00 eV per cell

---

No. 3
! TaTcPS2 PBE relaxed; values from VASP
&SYSTEM
  ibrav = 0, nat = 5, ntyp = 4
/
ATOMIC_SPECIES
S 32.06 S.upf
P 30.97 P.upf
Tc 98.00 Tc.upf
Ta 180.95 Ta.upf
CELL_PARAMETERS angstrom
4.545 0.000 0.000
0.000 4.545 0.000
0.000 0.000 4.634
ATOMIC_POSITIONS angstrom
S 0.000 2.273 0.000
P 0.000 0.000 2.317
S 2.273 0.000 0.000
Tc 0.000 0.000 0.000
Ta 2.273 2.273 2.317
! Crystal system: tetragonal
! Space group: No. 123
! ΔE_f (raw): 0.858 eV per atom
! Offset from the most stable computed form: 289 meV per atom
! DFT total energy: -31.59 eV per cell

---

No. 4
! TaTcPS2 PBE relaxed; values from VASP
&SYSTEM
  ibrav = 0, nat = 5, ntyp = 4
/
ATOMIC_SPECIES
P 30.97 P.upf
Ta 180.95 Ta.upf
Tc 98.00 Tc.upf
S 32.06 S.upf
CELL_PARAMETERS angstrom
-2.392 -3.820 -1.359
2.339 -0.011 -4.085
3.502 -2.909 2.012
ATOMIC_POSITIONS angstrom
P 1.751 -1.454 1.006
Ta 0.000 0.000 0.000
Tc 1.724 -3.370 -1.716
S -1.196 -1.910 -0.680
S 1.169 -0.005 -2.042
! Crystal system: tetragonal
! Space group: No. 123
! ΔE_f (raw): 0.569 eV per atom
! Offset from the most stable computed form: 0 meV per atom
! DFT total energy: -33.04 eV per cell

---

> Which value of DFT total energy does entry 3 give?

-31.59 eV per cell

---

> What is the formula in the fourth record?

TaTcPS2

---

Repeat the second record exactly.
! TaP2S6 PBE relaxed; values from VASP
&SYSTEM
  ibrav = 0, nat = 9, ntyp = 3
/
ATOMIC_SPECIES
S 32.06 S.upf
Ta 180.95 Ta.upf
P 30.97 P.upf
CELL_PARAMETERS angstrom
6.063 0.000 0.000
3.032 5.251 0.000
3.032 1.750 6.991
ATOMIC_POSITIONS angstrom
S 5.081 1.785 5.442
Ta 6.063 3.501 6.878
S 6.863 5.309 1.607
S 5.068 5.209 5.442
P 6.063 3.501 1.078
S 4.097 3.289 1.607
P 9.095 5.251 5.877
S 7.229 1.903 1.607
S 8.040 3.508 5.442
! Crystal system: trigonal
! Space group: No. 146
! ΔE_f (raw): -0.396 eV per atom
! DFT total energy: -51.00 eV per cell

---

Copy entry 2 word for word.
! TaP2S6 PBE relaxed; values from VASP
&SYSTEM
  ibrav = 0, nat = 9, ntyp = 3
/
ATOMIC_SPECIES
S 32.06 S.upf
Ta 180.95 Ta.upf
P 30.97 P.upf
CELL_PARAMETERS angstrom
6.063 0.000 0.000
3.032 5.251 0.000
3.032 1.750 6.991
ATOMIC_POSITIONS angstrom
S 5.081 1.785 5.442
Ta 6.063 3.501 6.878
S 6.863 5.309 1.607
S 5.068 5.209 5.442
P 6.063 3.501 1.078
S 4.097 3.289 1.607
P 9.095 5.251 5.877
S 7.229 1.903 1.607
S 8.040 3.508 5.442
! Crystal system: trigonal
! Space group: No. 146
! ΔE_f (raw): -0.396 eV per atom
! DFT total energy: -51.00 eV per cell